[1]
# Dy2Be3InPt4 (PBE, relaxed)
data_Dy2Be3InPt4
_cell_length_a 4.0531
_cell_length_b 4.0531
_cell_length_c 10.3083
_cell_angle_alpha 90.00
_cell_angle_beta 90.00
_cell_angle_gamma 90.00
_symmetry_space_group_name_H-M 'P 1'
_symmetry_Int_Tables_number 1
loop_
_symmetry_equiv_pos_as_xyz
'x,y,z'
loop_
_atom_site_label
_atom_site_type_symbol
_atom_site_fract_x
_atom_site_fract_y
_atom_site_fract_z
Pt1 Pt 0.5000 0.5000 0.0000
Pt2 Pt 0.0000 0.5000 0.3329
Pt3 Pt 0.5000 0.0000 0.6671
Pt4 Pt 0.0000 0.0000 0.0000
Dy1 Dy 0.0000 0.5000 0.7677
Dy2 Dy 0.5000 0.0000 0.2323
Be1 Be 0.0000 0.5000 0.1126
Be2 Be 0.0000 0.0000 0.5000
Be3 Be 0.5000 0.0000 0.8874
In1 In 0.5000 0.5000 0.5000
# - Crystal system: tetragonal
# - Density: 12.23 g cm⁻³
# - Total magnetic moment: 0.00 Bohr magnetons per cell
# - Calculated total energy: -5.57 eV/atom
# - Space group: P-4m2
# - ΔE_f: -0.840 eV per atom

[2]
# Zr2MoBr (PBE, relaxed)
data_Zr2MoBr
_cell_length_a 4.2411
_cell_length_b 4.2411
_cell_length_c 8.6487
_cell_angle_alpha 64.91
_cell_angle_beta 64.91
_cell_angle_gamma 45.97
_symmetry_space_group_name_H-M 'P 1'
_symmetry_Int_Tables_number 1
loop_
_symmetry_equiv_pos_as_xyz
'x,y,z'
loop_
_atom_site_label
_atom_site_type_symbol
_atom_site_fract_x
_atom_site_fract_y
_atom_site_fract_z
Mo1 Mo 0.2500 0.2500 0.2500
Zr1 Zr 0.0636 0.0636 0.0655
Zr2 Zr 0.4364 0.4364 0.4345
Br1 Br 0.7500 0.7500 0.7500
# - Relative energy among the computed polymorphs: 1.127 eV/f.u.
# - Crystal system: monoclinic
# - Density: 5.99 g cm⁻³
# - Total magnetic moment: 0.00 Bohr magnetons per cell
# - Calculated total energy: -7.46 eV/atom
# - Space group: C2/m
# - E_form (uncorrected): -0.06 eV per atom

[3]
# AcTcSbRu (PBE, relaxed)
data_AcTcSbRu
_cell_length_a 4.8765
_cell_length_b 4.8765
_cell_length_c 4.8765
_cell_angle_alpha 60.00
_cell_angle_beta 60.00
_cell_angle_gamma 60.00
_symmetry_space_group_name_H-M 'P 1'
_symmetry_Int_Tables_number 1
loop_
_symmetry_equiv_pos_as_xyz
'x,y,z'
loop_
_atom_site_label
_atom_site_type_symbol
_atom_site_fract_x
_atom_site_fract_y
_atom_site_fract_z
Tc1 Tc 0.2500 0.2500 0.2500
Sb1 Sb 0.5000 0.5000 0.5000
Ac1 Ac 0.0000 0.0000 0.0000
Ru1 Ru 0.7500 0.7500 0.7500
# - Crystal system: cubic
# - Density: 11.09 g cm⁻³
# - Total magnetic moment: 0.00 Bohr magnetons per cell
# - Calculated total energy: -6.81 eV/atom
# - Space group: F-43m
# - E_form (uncorrected): 0.15 eV per atom

[4]
# Cd2GaPt3 (PBE, relaxed)
data_Cd2GaPt3
_cell_length_a 5.0848
_cell_length_b 5.0848
_cell_length_c 5.0848
_cell_angle_alpha 66.31
_cell_angle_beta 66.31
_cell_angle_gamma 66.31
_symmetry_space_group_name_H-M 'P 1'
_symmetry_Int_Tables_number 1
loop_
_symmetry_equiv_pos_as_xyz
'x,y,z'
loop_
_atom_site_label
_atom_site_type_symbol
_atom_site_fract_x
_atom_site_fract_y
_atom_site_fract_z
Ga1 Ga 0.0000 0.0000 0.0000
Cd1 Cd 0.6226 0.6226 0.6226
Cd2 Cd 0.3774 0.3774 0.3774
Pt1 Pt 0.0000 0.5000 0.0000
Pt2 Pt 0.5000 0.0000 0.0000
Pt3 Pt 0.0000 0.0000 0.5000
# - Crystal system: trigonal
# - Density: 13.83 g cm⁻³
# - Total magnetic moment: 0.00 Bohr magnetons per cell
# - Calculated total energy: -4.29 eV/atom
# - Space group: R-3m
# - ΔE_f: -0.459 eV per atom

[5]
# ScPO4 (PBE, relaxed)
data_ScPO4
_cell_length_a 5.3275
_cell_length_b 5.3532
_cell_length_c 6.6339
_cell_angle_alpha 90.00
_cell_angle_beta 90.00
_cell_angle_gamma 90.00
_symmetry_space_group_name_H-M 'P 1'
_symmetry_Int_Tables_number 1
loop_
_symmetry_equiv_pos_as_xyz
'x,y,z'
loop_
_atom_site_label
_atom_site_type_symbol
_atom_site_fract_x
_atom_site_fract_y
_atom_site_fract_z
O1 O 0.8101 0.8516 0.6350
O2 O 0.1899 0.8516 0.3650
O3 O 0.8269 0.3135 0.8822
O4 O 0.8101 0.1484 0.3650
O5 O 0.1731 0.6865 0.8822
O6 O 0.1731 0.3135 0.1178
O7 O 0.1899 0.1484 0.6350
O8 O 0.8269 0.6865 0.1178
P1 P 0.0000 0.0000 0.5000
P2 P 0.0000 0.5000 0.0000
Sc1 Sc 0.0000 0.0000 0.0000
Sc2 Sc 0.5000 0.0000 0.5000
# - Crystal system: orthorhombic
# - Density: 2.46 g cm⁻³
# - Total magnetic moment: 0.00 Bohr magnetons per cell
# - Calculated total energy: -7.78 eV/atom
# - Space group: P222
# - E_form (uncorrected): -2.52 eV per atom

[6]
# CdAgRu2 (PBE, relaxed)
data_CdAgRu2
_cell_length_a 5.5573
_cell_length_b 5.5573
_cell_length_c 5.5573
_cell_angle_alpha 149.93
_cell_angle_beta 128.50
_cell_angle_gamma 60.80
_symmetry_space_group_name_H-M 'P 1'
_symmetry_Int_Tables_number 1
loop_
_symmetry_equiv_pos_as_xyz
'x,y,z'
loop_
_atom_site_label
_atom_site_type_symbol
_atom_site_fract_x
_atom_site_fract_y
_atom_site_fract_z
Cd1 Cd 0.7582 0.2582 0.5000
Ru1 Ru 0.0185 0.0185 0.0000
Ru2 Ru 0.2314 0.7314 0.5000
Ag1 Ag 0.4919 0.4919 0.0000
# - Crystal system: orthorhombic
# - Density: 10.51 g cm⁻³
# - Total magnetic moment: 0.00 Bohr magnetons per cell
# - Calculated total energy: -5.09 eV/atom
# - Space group: Imm2
# - ΔE_f: 0.489 eV per atom

[7]
# LiCa2Os (PBE, relaxed)
data_LiCa2Os
_cell_length_a 4.6492
_cell_length_b 4.6492
_cell_length_c 7.2635
_cell_angle_alpha 86.24
_cell_angle_beta 86.24
_cell_angle_gamma 37.58
_symmetry_space_group_name_H-M 'P 1'
_symmetry_Int_Tables_number 1
loop_
_symmetry_equiv_pos_as_xyz
'x,y,z'
loop_
_atom_site_label
_atom_site_type_symbol
_atom_site_fract_x
_atom_site_fract_y
_atom_site_fract_z
Os1 Os 0.2500 0.2500 0.2500
Ca1 Ca 0.9888 0.9888 0.0338
Ca2 Ca 0.5112 0.5112 0.4662
Li1 Li 0.7500 0.7500 0.7500
# - Crystal system: monoclinic
# - Density: 4.82 g cm⁻³
# - Total magnetic moment: 0.00 Bohr magnetons per cell
# - Calculated total energy: -3.78 eV/atom
# - Space group: C2/m
# - ΔE_f: 0.504 eV per atom

[8]
# Sr3Be2Si4 (PBE, relaxed)
data_Sr3Be2Si4
_cell_length_a 4.0314
_cell_length_b 6.1687
_cell_length_c 8.3675
_cell_angle_alpha 92.30
_cell_angle_beta 90.00
_cell_angle_gamma 109.07
_symmetry_space_group_name_H-M 'P 1'
_symmetry_Int_Tables_number 1
loop_
_symmetry_equiv_pos_as_xyz
'x,y,z'
loop_
_atom_site_label
_atom_site_type_symbol
_atom_site_fract_x
_atom_site_fract_y
_atom_site_fract_z
Sr1 Sr 0.3385 0.6771 0.3350
Sr2 Sr 0.0000 0.0000 0.0000
Sr3 Sr 0.6615 0.3229 0.6650
Be1 Be 0.3897 0.7795 0.7176
Be2 Be 0.6103 0.2205 0.2824
Si1 Si 0.0598 0.1196 0.3826
Si2 Si 0.2828 0.5655 0.9352
Si3 Si 0.7172 0.4345 0.0648
Si4 Si 0.9402 0.8804 0.6174
# - Crystal system: monoclinic
# - Density: 3.32 g cm⁻³
# - Total magnetic moment: 0.00 Bohr magnetons per cell
# - Calculated total energy: -4.18 eV/atom
# - Space group: C2/m
# - E_form (uncorrected): -0.38 eV per atom

[9]
# La4InPb (PBE, relaxed)
data_La4InPb
_cell_length_a 6.5308
_cell_length_b 6.5308
_cell_length_c 6.5308
_cell_angle_alpha 60.00
_cell_angle_beta 60.00
_cell_angle_gamma 60.00
_symmetry_space_group_name_H-M 'P 1'
_symmetry_Int_Tables_number 1
loop_
_symmetry_equiv_pos_as_xyz
'x,y,z'
loop_
_atom_site_label
_atom_site_type_symbol
_atom_site_fract_x
_atom_site_fract_y
_atom_site_fract_z
La1 La 0.8744 0.3752 0.3752
La2 La 0.3752 0.8744 0.3752
La3 La 0.3752 0.3752 0.3752
La4 La 0.3752 0.3752 0.8744
Pb1 Pb 0.7500 0.7500 0.7500
In1 In 0.0000 0.0000 0.0000
# - Relative energy among the computed polymorphs: 2.141 eV/f.u.
# - Crystal system: cubic
# - Density: 7.40 g cm⁻³
# - Total magnetic moment: 0.00 Bohr magnetons per cell
# - Calculated total energy: -4.35 eV/atom
# - Space group: F-43m
# - ΔE_f: 0.009 eV per atom

[10]
# La2ScTe2 (PBE, relaxed)
data_La2ScTe2
_cell_length_a 8.4680
_cell_length_b 8.4680
_cell_length_c 4.2390
_cell_angle_alpha 90.00
_cell_angle_beta 90.00
_cell_angle_gamma 90.00
_symmetry_space_group_name_H-M 'P 1'
_symmetry_Int_Tables_number 1
loop_
_symmetry_equiv_pos_as_xyz
'x,y,z'
loop_
_atom_site_label
_atom_site_type_symbol
_atom_site_fract_x
_atom_site_fract_y
_atom_site_fract_z
La1 La 0.8459 0.3459 0.5000
La2 La 0.1541 0.6541 0.5000
La3 La 0.3459 0.1541 0.5000
La4 La 0.6541 0.8459 0.5000
Sc1 Sc 0.0000 0.0000 0.0000
Sc2 Sc 0.5000 0.5000 0.0000
Te1 Te 0.8488 0.6512 0.0000
Te2 Te 0.3488 0.8488 0.0000
Te3 Te 0.1512 0.3488 0.0000
Te4 Te 0.6512 0.1512 0.0000
# - Crystal system: tetragonal
# - Density: 6.31 g cm⁻³
# - Total magnetic moment: 2.71 Bohr magnetons per cell
# - Calculated total energy: -5.57 eV/atom
# - Space group: P4/mbm
# - E_form (uncorrected): -1.08 eV per atom

[11]
# Tl6HgBi4 (PBE, relaxed)
data_Tl6HgBi4
_cell_length_a 8.2108
_cell_length_b 8.2108
_cell_length_c 8.4658
_cell_angle_alpha 119.01
_cell_angle_beta 119.01
_cell_angle_gamma 90.00
_symmetry_space_group_name_H-M 'P 1'
_symmetry_Int_Tables_number 1
loop_
_symmetry_equiv_pos_as_xyz
'x,y,z'
loop_
_atom_site_label
_atom_site_type_symbol
_atom_site_fract_x
_atom_site_fract_y
_atom_site_fract_z
Tl1 Tl 0.5000 0.0000 0.0000
Tl2 Tl 0.4025 0.4025 0.2966
Tl3 Tl 0.1060 0.5975 0.7034
Tl4 Tl 0.5975 0.1060 0.7034
Tl5 Tl 0.0000 0.5000 0.0000
Tl6 Tl 0.8940 0.8940 0.2966
Bi1 Bi 0.2483 0.9676 0.2160
Bi2 Bi 0.7517 0.7517 0.7840
Bi3 Bi 0.0324 0.0324 0.7840
Bi4 Bi 0.9676 0.2483 0.2160
Hg1 Hg 0.5000 0.5000 0.0000
# - Crystal system: tetragonal
# - Density: 9.05 g cm⁻³
# - Total magnetic moment: 0.00 Bohr magnetons per cell
# - Calculated total energy: -2.62 eV/atom
# - Space group: I-42m
# - ΔE_f: 0.112 eV per atom

[12]
# LiTiIn3 (PBE, relaxed)
data_LiTiIn3
_cell_length_a 5.3748
_cell_length_b 5.3748
_cell_length_c 5.3748
_cell_angle_alpha 90.00
_cell_angle_beta 90.00
_cell_angle_gamma 90.00
_symmetry_space_group_name_H-M 'P 1'
_symmetry_Int_Tables_number 1
loop_
_symmetry_equiv_pos_as_xyz
'x,y,z'
loop_
_atom_site_label
_atom_site_type_symbol
_atom_site_fract_x
_atom_site_fract_y
_atom_site_fract_z
In1 In 0.5000 0.0000 0.0000
In2 In 0.0000 0.0000 0.5000
In3 In 0.0000 0.5000 0.0000
Ti1 Ti 0.0000 0.0000 0.0000
Li1 Li 0.5000 0.5000 0.5000
# - Relative energy among the computed polymorphs: 0.000 eV/f.u.
# - Crystal system: cubic
# - Density: 4.27 g cm⁻³
# - Total magnetic moment: 1.51 Bohr magnetons per cell
# - Calculated total energy: -3.26 eV/atom
# - Space group: Pm-3m
# - ΔE_f: 0.344 eV per atom

[13]
# ZnSiSe2 (PBE, relaxed)
data_ZnSiSe2
_cell_length_a 5.3488
_cell_length_b 5.9386
_cell_length_c 2.7524
_cell_angle_alpha 80.90
_cell_angle_beta 80.60
_cell_angle_gamma 114.36
_symmetry_space_group_name_H-M 'P 1'
_symmetry_Int_Tables_number 1
loop_
_symmetry_equiv_pos_as_xyz
'x,y,z'
loop_
_atom_site_label
_atom_site_type_symbol
_atom_site_fract_x
_atom_site_fract_y
_atom_site_fract_z
Si1 Si 0.0000 0.5000 0.5000
Se1 Se 0.0000 0.0000 0.0000
Se2 Se 0.5000 0.0000 0.5000
Zn1 Zn 0.5000 0.5000 0.0000
# - Crystal system: monoclinic
# - Density: 5.49 g cm⁻³
# - Total magnetic moment: 0.00 Bohr magnetons per cell
# - Calculated total energy: -2.99 eV/atom
# - Space group: C2/m
# - E_form (uncorrected): 0.42 eV per atom